The following is a DFT calculation (PBE-GGA) of a relaxed structure of Th5H2Pb5.

Values from the calculation:
DOS at the Fermi energy = 8.06 states/eV per cell
Crystal system = monoclinic
Uncorrected energy = -5.36 eV/atom

abc: 6.4515 6.4515 13.6541
angles: 114.38 114.38 41.21
Element x y z (fractional)
Th 0.0000 0.0000 0.0000
Th 0.1282 0.1282 0.4182
Th 0.3575 0.3575 0.2408
Th 0.6425 0.6425 0.7592
Th 0.8718 0.8718 0.5818
H 0.0703 0.0703 0.7148
H 0.9297 0.9297 0.2852
Pb 0.2900 0.2900 0.9469
Pb 0.3554 0.3554 0.7439
Pb 0.5000 0.5000 0.5000
Pb 0.6446 0.6446 0.2561
Pb 0.7100 0.7100 0.0531

The following is a DFT calculation (PBE-GGA) of a relaxed structure of ThHPb.

Values from the calculation:
DOS at the Fermi energy = 7.19 states/eV per cell
Crystal system = orthorhombic
Offset from the most stable computed form = 147 meV per atom
Uncorrected energy = -5.04 eV/atom

abc: 3.4349 11.3177 6.6678
angles: 90.00 90.00 90.00
Element x y z (fractional)
Th 0.0000 0.0000 0.0000
Th 0.0000 0.0000 0.5000
Th 0.5000 0.5000 0.0000
Th 0.5000 0.5000 0.5000
H 0.0000 0.4653 0.2500
H 0.0000 0.5347 0.7500
H 0.5000 0.0347 0.7500
H 0.5000 0.9653 0.2500
Pb 0.0000 0.2674 0.7500
Pb 0.0000 0.7326 0.2500
Pb 0.5000 0.2326 0.2500
Pb 0.5000 0.7674 0.7500

The following is a DFT calculation (PBE-GGA) of a relaxed structure of Th4H4Pb3.

Values from the calculation:
DOS at the Fermi energy = 4.37 states/eV per cell
Crystal system = orthorhombic
Uncorrected energy = -5.17 eV/atom

abc: 7.9615 7.9615 7.9615
angles: 141.81 129.46 65.07
Element x y z (fractional)
Th 0.2367 0.2367 0.0000
Th 0.2575 0.5000 0.7575
Th 0.7425 0.5000 0.2425
Th 0.7633 0.7633 0.0000
H 0.0341 0.3251 0.7090
H 0.3840 0.6749 0.7090
H 0.6160 0.3251 0.2910
H 0.9659 0.6749 0.2910
Pb 0.0000 0.0000 0.0000
Pb 0.3811 0.8811 0.5000
Pb 0.6189 0.1189 0.5000

The following is a DFT calculation (PBE-GGA) of a relaxed structure of ThHPb.

Values from the calculation:
DOS at the Fermi energy = 5.52 states/eV per cell
Crystal system = monoclinic
Offset from the most stable computed form = 117 meV per atom
Uncorrected energy = -5.07 eV/atom

abc: 6.2150 3.6005 12.0673
angles: 90.00 90.14 90.00
Element x y z (fractional)
Th 0.1659 0.0000 0.3569
Th 0.3341 0.5000 0.6431
Th 0.6659 0.5000 0.3569
Th 0.8341 0.0000 0.6431
H 0.1677 0.0000 0.5513
H 0.3323 0.5000 0.4487
H 0.6677 0.5000 0.5513
H 0.8323 0.0000 0.4487
Pb 0.0111 0.5000 0.8727
Pb 0.4889 0.0000 0.1273
Pb 0.5111 0.0000 0.8727
Pb 0.9889 0.5000 0.1273